[1]
An optimized crystal structure of Th2SiIr6. Source: the Alexandria database, functional PBE.

As for the density of states at the Fermi level: 7.9 states/eV/f.u. The total moment is 0.0000 μB/atom. The uncorrected formation energy is -0.741 eV per atom.

It has space group C2/m (No. 12), with a = 9.6552 Å, b = 5.6212 Å, c = 6.1874 Å, α = 90.00°, β = 103.76° and γ = 90.00°. The asymmetric unit holds Th at (0.1422, 0.0000, 0.3443), Si at (0.0000, 0.5000, 0.5000), Ir at (0.1121, 0.5000, 0.1753) and Ir at (0.1370, 0.2424, 0.8103).


[2]
An optimized crystal structure of BaPmCuN2. Source: the Alexandria database, functional PBE.

The total moment is 0.0000 μB/atom. The uncorrected formation energy is -0.584 eV per atom.

It has space group P2/c (No. 13), with a = 5.9230 Å, b = 5.2356 Å, c = 6.9346 Å, α = 90.00°, β = 90.49° and γ = 90.00°. The asymmetric unit holds Ba at (0.0000, 0.0043, 0.2500), Pm at (0.5000, 0.4992, 0.7500), Cu at (0.5000, 0.0000, 0.0000) and N at (0.2958, 0.2725, 0.9989).


Repeat the first record exactly.
An optimized crystal structure of Th2SiIr6. Source: the Alexandria database, functional PBE.

As for the density of states at the Fermi level: 7.9 states/eV/f.u. The total moment is 0.0000 μB/atom. The uncorrected formation energy is -0.741 eV per atom.

It has space group C2/m (No. 12), with a = 9.6552 Å, b = 5.6212 Å, c = 6.1874 Å, α = 90.00°, β = 103.76° and γ = 90.00°. The asymmetric unit holds Th at (0.1422, 0.0000, 0.3443), Si at (0.0000, 0.5000, 0.5000), Ir at (0.1121, 0.5000, 0.1753) and Ir at (0.1370, 0.2424, 0.8103).